[1]
# TlBi

A relaxed TlBi crystal (PBE, the Alexandria database).

Results
- Energy of formation: 12 kJ/mol of formula units

Cell lengths 10.7872, 10.7872, 4.3856 Å; angles 90.00, 90.00, 120.00 degrees
Atoms (fractional coordinates):
Bi: 0.8849 0.4023 0.2500
Bi: 0.4023 0.5174 0.7500
Bi: 0.4826 0.8849 0.7500
Bi: 0.1151 0.5977 0.7500
Bi: 0.5174 0.1151 0.2500
Bi: 0.5977 0.4826 0.2500
Tl: 0.7443 0.7732 0.7500
Tl: 0.2268 0.9710 0.7500
Tl: 0.7732 0.0290 0.2500
Tl: 0.0290 0.2557 0.7500
Tl: 0.9710 0.7443 0.2500
Tl: 0.2557 0.2268 0.2500

***

[2]
# TlBi3

A relaxed TlBi3 crystal (PBE, the Alexandria database).

Results
- Energy of formation: 35 kJ/mol of formula units

Cell lengths 4.9228, 4.9228, 6.3143 Å; angles 112.94, 112.94, 90.00 degrees
Atoms (fractional coordinates):
Tl: 0.0000 0.0000 0.0000
Bi: 0.7500 0.2500 0.5000
Bi: 0.5000 0.5000 0.0000
Bi: 0.2500 0.7500 0.5000

***

[3]
# TlBi

A relaxed TlBi crystal (PBE, the Alexandria database).

Results
- Energy of formation: 60 kJ/mol of formula units

Cell lengths 9.6488, 9.6488, 9.6488 Å; angles 90.00, 90.00, 90.00 degrees
Atoms (fractional coordinates):
Tl: 0.6705 0.3295 0.3295
Tl: 0.3295 0.3295 0.6705
Tl: 0.1705 0.8295 0.8295
Tl: 0.8295 0.8295 0.1705
Tl: 0.8295 0.1705 0.8295
Tl: 0.1705 0.1705 0.1705
Tl: 0.6705 0.6705 0.6705
Tl: 0.3295 0.6705 0.3295
Bi: 0.3494 0.3494 0.3494
Bi: 0.3494 0.6506 0.6506
Bi: 0.8494 0.8494 0.8494
Bi: 0.1506 0.8494 0.1506
Bi: 0.8494 0.1506 0.1506
Bi: 0.1506 0.1506 0.8494
Bi: 0.6506 0.3494 0.6506
Bi: 0.6506 0.6506 0.3494

***

[4]
# TlBi

A relaxed TlBi crystal (PBE, the Alexandria database).

Results
- Energy of formation: -3 kJ/mol of formula units

Cell lengths 3.4678, 5.7303, 6.4687 Å; angles 90.00, 90.42, 90.00 degrees
Atoms (fractional coordinates):
Tl: 0.9880 0.7500 0.6506
Tl: 0.0120 0.2500 0.3494
Bi: 0.5022 0.7500 0.1352
Bi: 0.4978 0.2500 0.8648